# 1
Here is crystalline PmHo2Mg2 at its relaxed geometry from the Alexandria database. Energies are from GGA-PBE. Values from VASP.

Values from the calculation:
volume	142.9	Å³/f.u.
mass density	6082	kg/m3
space-group type	P2_1/m (11)
total moment	0.00	μB/f.u.
energy	-0.1281	hartree per atom

Structure (Quantum ESPRESSO input):
```
&SYSTEM
  ibrav = 0, nat = 10, ntyp = 3
/
ATOMIC_SPECIES
Mg 24.30 Mg.upf
Ho 164.93 Ho.upf
Pm 145.00 Pm.upf
CELL_PARAMETERS angstrom
-0.6309 2.7092 2.5061
-5.3907 -0.8417 -0.4471
0.9271 -10.7408 9.0427
ATOMIC_POSITIONS angstrom
Mg -4.1867 -1.9092 3.8029
Mg -1.6003 0.1774 2.2044
Ho -3.7524 -5.0899 4.5538
Mg -0.9078 -6.9640 7.2988
Pm -3.9312 -5.8325 8.1073
Mg -3.4942 -9.0506 8.8973
Ho -3.9887 -1.4652 0.5799
Pm -1.1634 -3.0407 2.9945
Ho -1.1058 -7.4081 10.5219
Ho -1.3422 -3.7834 6.5480
```

---

# 2
Here is crystalline Pm5Ho4Mg2 at its relaxed geometry from the Alexandria database. Energies are from GGA-PBE. Values from VASP.

Values from the calculation:
volume	347.6	Å³/f.u.
mass density	6847	kg/m3
space-group type	C2/m (12)
total moment	0.00	μB/f.u.
energy	-0.1492	hartree per atom

Structure (Quantum ESPRESSO input):
```
&SYSTEM
  ibrav = 0, nat = 11, ntyp = 3
/
ATOMIC_SPECIES
Pm 145.00 Pm.upf
Ho 164.93 Ho.upf
Mg 24.30 Mg.upf
CELL_PARAMETERS angstrom
3.4638 0.0000 -0.6934
-0.8555 7.6438 -4.2733
0.9580 -1.4535 13.7834
ATOMIC_POSITIONS angstrom
Pm 1.7319 0.0000 -0.3467
Ho 1.2163 2.2104 6.0756
Mg 1.3979 5.4010 -2.0148
Ho 3.5362 3.1326 8.6665
Pm 0.2225 6.2764 1.1113
Mg 2.1684 0.7893 10.8315
Ho 2.3500 3.9799 2.7411
Pm 3.3438 -0.0862 7.7054
Pm 0.5728 0.9118 2.8611
Pm 2.9935 5.2784 5.9556
Ho 0.0301 3.0576 0.1502
```

---

# 3
Here is crystalline PmHo8Mg6 at its relaxed geometry from the Alexandria database. Energies are from GGA-PBE. Values from VASP.

Values from the calculation:
volume	460.5	Å³/f.u.
mass density	5806	kg/m3
space-group type	R-3 (148)
total moment	0.00	μB/f.u.
energy	-0.1174	hartree per atom

Structure (Quantum ESPRESSO input):
```
&SYSTEM
  ibrav = 0, nat = 15, ntyp = 3
/
ATOMIC_SPECIES
Pm 145.00 Pm.upf
Ho 164.93 Ho.upf
Mg 24.30 Mg.upf
CELL_PARAMETERS angstrom
9.0981 0.0000 0.0000
4.5491 7.8792 0.0000
4.5491 2.6264 6.4242
ATOMIC_POSITIONS angstrom
Pm 0.0000 0.0000 0.0000
Ho 10.6075 2.6272 4.1651
Mg 7.5638 7.8648 5.4915
Mg 12.1274 5.2756 5.4915
Ho 7.5888 7.8784 2.2590
Mg 7.6033 2.6180 5.4915
Ho 9.0981 5.2528 0.0409
Ho 12.1267 5.2472 2.2590
Ho 9.0981 5.2528 6.3833
Mg 10.6325 2.6409 0.9327
Ho 6.0696 5.2585 4.1651
Ho 10.6173 7.8728 4.1651
Mg 10.5930 7.8876 0.9327
Mg 6.0689 5.2300 0.9327
Ho 7.5790 2.6329 2.2590
```

---

# 4
Here is crystalline Pm7HoMg4 at its relaxed geometry from the Alexandria database. Energies are from GGA-PBE. Values from VASP.

Values from the calculation:
volume	375.4	Å³/f.u.
mass density	5649	kg/m3
space-group type	C2/m (12)
total moment	0.00	μB/f.u.
energy	-0.1305	hartree per atom

Structure (Quantum ESPRESSO input):
```
&SYSTEM
  ibrav = 0, nat = 12, ntyp = 3
/
ATOMIC_SPECIES
Pm 145.00 Pm.upf
Mg 24.30 Mg.upf
Ho 164.93 Ho.upf
CELL_PARAMETERS angstrom
5.8334 0.0000 0.0000
2.9167 8.6830 1.2494
2.9167 1.2176 7.5868
ATOMIC_POSITIONS angstrom
Pm 5.8334 2.7595 2.0043
Pm 8.7501 4.5981 6.1299
Mg 5.8334 3.4044 5.0592
Ho 0.0000 0.0000 0.0000
Mg 2.9167 2.9999 0.4626
Pm 2.9167 1.6496 3.8202
Pm 5.8334 7.1411 6.8319
Mg 5.8334 6.4963 3.7770
Pm 2.9167 5.3026 2.7062
Pm 8.7501 8.2511 5.0160
Mg 8.7501 6.9008 8.3736
Pm 2.9167 0.0000 0.0000
```

---

# 5
Here is crystalline Pm2HoMg5 at its relaxed geometry from the Alexandria database. Energies are from GGA-PBE. Values from VASP.

Values from the calculation:
volume	214.7	Å³/f.u.
mass density	4458	kg/m3
space-group type	I4/mmm (139)
total moment	0.00	μB/f.u.
energy	-0.1040	hartree per atom

Structure (Quantum ESPRESSO input):
```
&SYSTEM
  ibrav = 0, nat = 8, ntyp = 3
/
ATOMIC_SPECIES
Mg 24.30 Mg.upf
Ho 164.93 Ho.upf
Pm 145.00 Pm.upf
CELL_PARAMETERS angstrom
5.2481 0.0000 0.0000
0.0000 5.2481 0.0000
-2.6241 -2.6241 7.7966
ATOMIC_POSITIONS angstrom
Mg 0.0000 2.6241 1.7949
Mg 2.6241 2.6241 0.0000
Ho 0.0000 0.0000 0.0000
Mg 2.6241 0.0000 1.7949
Pm 0.0000 0.0000 4.0266
Mg 0.0000 2.6241 6.0017
Pm 2.6241 2.6241 3.7699
Mg 2.6241 0.0000 6.0017
```

---

# 6
Here is crystalline Pm4HoMg3 at its relaxed geometry from the Alexandria database. Energies are from GGA-PBE. Values from VASP.

Values from the calculation:
volume	239.3	Å³/f.u.
mass density	5675	kg/m3
space-group type	Pmmm (47)
total moment	0.00	μB/f.u.
energy	-0.1317	hartree per atom

Structure (Quantum ESPRESSO input):
```
&SYSTEM
  ibrav = 0, nat = 8, ntyp = 3
/
ATOMIC_SPECIES
Mg 24.30 Mg.upf
Pm 145.00 Pm.upf
Ho 164.93 Ho.upf
CELL_PARAMETERS angstrom
-2.7798 -2.3525 -1.2182
3.7065 -2.7890 -3.0720
2.0080 -6.8453 8.6373
ATOMIC_POSITIONS angstrom
Mg 0.1157 -6.3089 5.8672
Pm 3.3387 -6.4585 4.8536
Pm 0.0000 0.0000 0.0000
Mg 1.4673 -5.9934 2.1735
Pm 2.3758 -3.1758 0.7116
Ho 0.4633 -2.5707 -2.1451
Pm 1.0040 -3.4227 4.3186
Mg -0.8875 -2.8889 1.5519
```

---

# 7
Here is crystalline Pm9HoMg2 at its relaxed geometry from the Alexandria database. Energies are from GGA-PBE. Values from VASP.

Values from the calculation:
volume	385.5	Å³/f.u.
mass density	6541	kg/m3
space-group type	P4/mmm (123)
total moment	0.00	μB/f.u.
energy	-0.1546	hartree per atom

Structure (Quantum ESPRESSO input):
```
&SYSTEM
  ibrav = 0, nat = 12, ntyp = 3
/
ATOMIC_SPECIES
Mg 24.30 Mg.upf
Pm 145.00 Pm.upf
Ho 164.93 Ho.upf
CELL_PARAMETERS angstrom
5.0380 0.0000 0.0000
0.0000 5.0380 0.0000
0.0000 0.0000 15.1895
ATOMIC_POSITIONS angstrom
Mg 0.0000 0.0000 5.1156
Pm 2.5190 2.5190 5.0978
Pm 0.0000 2.5190 7.5948
Mg 0.0000 0.0000 10.0739
Pm 0.0000 2.5190 12.6129
Ho 0.0000 0.0000 0.0000
Pm 2.5190 0.0000 7.5948
Pm 2.5190 0.0000 2.5766
Pm 2.5190 0.0000 12.6129
Pm 2.5190 2.5190 0.0000
Pm 2.5190 2.5190 10.0917
Pm 0.0000 2.5190 2.5766
```

---

# 8
Here is crystalline Pm2HoMg9 at its relaxed geometry from the Alexandria database. Energies are from GGA-PBE. Values from VASP.

Values from the calculation:
volume	311.8	Å³/f.u.
mass density	3587	kg/m3
space-group type	R-3m (166)
total moment	0.00	μB/f.u.
energy	-0.0885	hartree per atom

Structure (Quantum ESPRESSO input):
```
&SYSTEM
  ibrav = 0, nat = 12, ntyp = 3
/
ATOMIC_SPECIES
Mg 24.30 Mg.upf
Pm 145.00 Pm.upf
Ho 164.93 Ho.upf
CELL_PARAMETERS angstrom
-5.0705 -1.3171 -3.0569
0.3094 -1.5928 -5.8443
-0.7181 -10.3642 -0.3608
ATOMIC_POSITIONS angstrom
Mg -3.1724 -1.9576 -5.9293
Pm -4.3921 -6.8990 -7.7945
Mg -0.7599 -8.8142 -3.9328
Mg -2.3067 -11.3165 -3.3327
Mg -3.4812 -8.6748 -2.5228
Mg -3.3247 -9.4804 -5.4791
Ho 0.0000 0.0000 0.0000
Mg -2.1544 -3.7937 -3.7829
Mg -2.7396 -6.6371 -4.6310
Pm -1.0870 -6.3751 -1.4675
Mg -4.7192 -4.4599 -5.3292
Mg -1.9979 -4.5994 -6.7392
```